Entry 1:
Tl3CdH: relaxed, PBE-GGA.

Cell lengths 4.9866, 4.9866, 4.9866 Å; angles 90.00, 90.00, 90.00 degrees
Closest atoms and distances in Å follow each position.
Space group Pm-3m (No. 221)
Asymmetric unit:
Tl 0.0000 0.0000 0.5000 [3 per cell]  2 H 2.49
Cd 0.5000 0.5000 0.5000 [1 per cell]  12 Tl 3.53
H 0.0000 0.0000 0.0000 [1 per cell]  6 Tl 2.49

***

Entry 2:
TlCd3H: relaxed, PBE-GGA.

Cell lengths 5.6799, 5.6799, 5.6799 Å; angles 90.00, 90.00, 90.00 degrees
Closest atoms and distances in Å follow each position.
Space group Pm-3m (No. 221)
Asymmetric unit:
Tl 0.0000 0.0000 0.0000 [1 per cell]  6 Cd 2.84
Cd 0.0000 0.0000 0.5000 [3 per cell]  2 Tl 2.84
H 0.5000 0.5000 0.5000 [1 per cell]  12 Cd 4.02

***

Entry 3:
TlCdH4: relaxed, PBE-GGA.

Cell lengths 5.7247, 5.8675, 4.7423 Å; angles 90.00, 93.49, 90.00 degrees
Closest atoms and distances in Å follow each position.
Space group C2/m (No. 12)
Asymmetric unit:
Tl 0.0000 0.0000 0.0000 [2 per cell]  4 H 2.13
Cd 0.0000 0.5000 0.5000 [2 per cell]  4 H 1.90
H 0.1227 0.2683 0.7452 [8 per cell]  1 Cd 1.90

***

Entry 4:
TlCdH2: relaxed, PBE-GGA.

Cell lengths 3.0903, 4.9497, 11.6445 Å; angles 95.98, 94.11, 90.02 degrees
Closest atoms and distances in Å follow each position.
Space group P-1 (No. 2)
Asymmetric unit:
Tl 0.0690 0.1669 0.2460 [2 per cell]  2 Tl 3.09, 2 H 3.12-3.45, 3 Cd 3.27-3.44
Cd 0.0000 0.5000 0.0000 [1 per cell]  6 Cd 2.92-3.09
Cd 0.5000 0.0000 0.0000 [1 per cell]  6 Cd 2.92-3.09
H 0.2819 0.2552 0.5135 [2 per cell]  1 H 0.76
H 0.3132 0.2858 0.5785 [2 per cell]  1 H 0.76

***

Entry 5:
TlCd4H2: relaxed, PBE-GGA.

Cell lengths 3.1920, 5.1964, 8.4944 Å; angles 106.22, 90.55, 90.09 degrees
Closest atoms and distances in Å follow each position.
Space group P-1 (No. 2)
Asymmetric unit:
Tl 0.0000 0.0000 0.0000 [1 per cell]  2 Cd 3.00, 2 Tl 3.19
Cd 0.0025 0.8129 0.6325 [2 per cell]  2 H 2.00
Cd 0.4986 0.3991 0.7966 [2 per cell]  1 H 2.29
H 0.4994 0.7476 0.4845 [2 per cell]  2 Cd 2.00

***

Entry 6:
Tl2Cd4H: relaxed, PBE-GGA.

Cell lengths 4.4921, 4.4921, 16.5688 Å; angles 90.00, 90.00, 90.00 degrees
Closest atoms and distances in Å follow each position.
Space group I4/mmm (No. 139)
Asymmetric unit:
Tl 0.0000 0.0000 0.1659 [4 per cell]  5 Cd 3.12-3.19
Cd 0.0000 0.0000 0.3540 [4 per cell]  1 H 2.42
Cd 0.0000 0.5000 0.0000 [4 per cell]  2 H 2.25
H 0.0000 0.0000 0.5000 [2 per cell]  6 Cd 2.25-2.42

***

Entry 7:
Tl3CdH: relaxed, PBE-GGA.

Cell lengths 3.6461, 7.4790, 9.0950 Å; angles 90.25, 90.07, 90.50 degrees
Closest atoms and distances in Å follow each position.
Space group P-1 (No. 2)
Asymmetric unit:
Tl 0.2479 0.1005 0.3599 [2 per cell]  1 H 2.13
Tl 0.2502 0.6213 0.3405 [2 per cell]  3 H 2.42-2.47
Tl 0.2502 0.6511 0.9029 [2 per cell]  3 Cd 3.18-3.39, 6 Tl 3.39-3.54
Cd 0.2506 0.1045 0.8901 [2 per cell]  2 Cd 3.12-3.13, 7 Tl 3.18-3.47
H 0.2525 0.3421 0.4844 [2 per cell]  1 Tl 2.13

***

Entry 8:
TlCd3H: relaxed, PBE-GGA.

Cell lengths 4.7099, 4.7099, 4.7099 Å; angles 90.00, 90.00, 90.00 degrees
Closest atoms and distances in Å follow each position.
Space group Pm-3m (No. 221)
Asymmetric unit:
Tl 0.0000 0.0000 0.0000 [1 per cell]  12 Cd 3.33
Cd 0.0000 0.5000 0.5000 [3 per cell]  2 H 2.35
H 0.5000 0.5000 0.5000 [1 per cell]  6 Cd 2.35

***

Entry 9:
TlCdH2: relaxed, PBE-GGA.

Cell lengths 5.2477, 5.2477, 10.4744 Å; angles 90.00, 90.00, 90.00 degrees
Closest atoms and distances in Å follow each position.
Space group I-42d (No. 122)
Asymmetric unit:
Tl 0.0000 0.0000 0.0000 [4 per cell]  4 H 2.79
Cd 0.0000 0.0000 0.5000 [4 per cell]  4 H 1.93
H 0.1037 0.2500 0.6250 [8 per cell]  2 Cd 1.93

***

Entry 10:
Zr2TlCdH: relaxed, PBE-GGA.

Cell lengths 4.3680, 4.3680, 4.7351 Å; angles 90.00, 90.00, 90.00 degrees
Closest atoms and distances in Å follow each position.
Space group P4/mmm (No. 123)
Asymmetric unit:
Zr 0.0000 0.5000 0.0000 [2 per cell]  2 H 2.18
Tl 0.0000 0.0000 0.5000 [1 per cell]  4 Cd 3.09, 8 Zr 3.22
Cd 0.5000 0.5000 0.5000 [1 per cell]  2 H 2.37
H 0.5000 0.5000 0.0000 [1 per cell]  4 Zr 2.18, 2 Cd 2.37

***

Entry 11:
TmCdH: relaxed, PBE-GGA.

Cell lengths 6.4132, 5.8133, 6.7134 Å; angles 90.00, 119.65, 90.00 degrees
Closest atoms and distances in Å follow each position.
Space group P2_1/c (No. 14)
Asymmetric unit:
Tm 0.1610 0.1517 0.3934 [4 per cell]  3 H 2.05-2.09
Cd 0.3574 0.6550 0.6274 [4 per cell]  4 H 3.02-3.07, 5 Tm 3.17-3.35
H 0.1043 0.0858 0.6684 [4 per cell]  3 Tm 2.05-2.09, 1 H 2.21

***

Entry 12:
Tm2CdH2: relaxed, PBE-GGA.

Cell lengths 3.7081, 3.7081, 11.9341 Å; angles 90.00, 90.00, 90.00 degrees
Closest atoms and distances in Å follow each position.
Space group I4/mmm (No. 139)
Asymmetric unit:
Tm 0.0000 0.0000 0.1529 [4 per cell]  4 H 2.19
Cd 0.0000 0.0000 0.5000 [2 per cell]  8 Tm 3.19, 8 H 3.51
H 0.0000 0.5000 0.2500 [4 per cell]  4 Tm 2.19

***

| no. | VASP energy (eV per atom) | ρ (g/cm3) |
| --- | --- | --- |
| 1 | -2.0430 | 9.73 |
| 2 | -0.9742 | 4.92 |
| 3 | -2.3155 | 6.70 |
| 4 | -2.4019 | 5.99 |
| 5 | -1.5626 | 8.05 |
| 6 | -1.4731 | 8.54 |
| 7 | -2.0985 | 9.73 |
| 8 | -1.4117 | 8.62 |
| 9 | -2.2078 | 7.34 |
| 10 | -4.8866 | 9.19 |
| 11 | -3.2785 | 8.62 |
| 12 | -3.8811 | 9.15 |